1.
The following is a DFT calculation (PBE-GGA) of an optimized crystal structure of KCaF2.

a = 4.7390 Å, b = 4.7390 Å, c = 4.7390 Å
α = 60.00°, β = 60.00°, γ = 60.00°
With the nearest neighbours (Å) after each atom.
Atoms (fractional coordinates):
F  0.2500  0.2500  0.2500  4 Ca 2.90, 4 K 2.90
F  0.7500  0.7500  0.7500  4 Ca 2.90, 4 K 2.90
K  0.0000  0.0000  0.0000  8 F 2.90
Ca  0.5000  0.5000  0.5000  8 F 2.90

Results
The value obtained for the excess energy over the best structure of this formula in the dataset is 651 meV per atom. The energy relative to the elements, uncorrected comes out at -2.1096 eV per atom. For the density of states at the Fermi level, the calculation gives 3.13 states/eV/f.u. The density comes out at 2.59 g/cm³.

***

2.
The following is a DFT calculation (PBE-GGA) of an optimized crystal structure of Co2NiSb.

a = 7.6809 Å, b = 7.6809 Å, c = 7.6809 Å
α = 22.39°, β = 22.39°, γ = 22.39°
With the nearest neighbours (Å) after each atom.
Atoms (fractional coordinates):
Co  0.9952  0.9952  0.9952  3 Ni 2.47, 3 Sb 2.62
Sb  0.7500  0.7500  0.7500  6 Co 2.62
Ni  0.2500  0.2500  0.2500  6 Co 2.47
Co  0.5048  0.5048  0.5048  3 Ni 2.47, 3 Sb 2.62

Results
The energy relative to the elements, uncorrected comes out at 0.5098 eV per atom. For the density of states at the Fermi level, the calculation gives 6.44 states/eV/f.u. The density comes out at 8.59 g/cm³.

***

3.
The following is a DFT calculation (PBE-GGA) of an optimized crystal structure of LuTaOs2.

a = 4.5910 Å, b = 4.5910 Å, c = 4.5910 Å
α = 60.00°, β = 60.00°, γ = 60.00°
With the nearest neighbours (Å) after each atom.
Atoms (fractional coordinates):
Os  0.2500  0.2500  0.2500  4 Ta 2.81, 4 Lu 2.81
Lu  0.0000  0.0000  0.0000  8 Os 2.81
Os  0.7500  0.7500  0.7500  4 Ta 2.81, 4 Lu 2.81
Ta  0.5000  0.5000  0.5000  8 Os 2.81

Results
The value obtained for the excess energy over the best structure of this formula in the dataset is 33 meV per atom. For the density of states at the Fermi level, the calculation gives 0.94 states/eV/f.u. The density comes out at 17.87 g/cm³.

***

4.
The following is a DFT calculation (PBE-GGA) of an optimized crystal structure of TlOs3Au.

a = 4.9282 Å, b = 4.9282 Å, c = 4.9282 Å
α = 90.00°, β = 90.00°, γ = 90.00°
With the nearest neighbours (Å) after each atom.
Atoms (fractional coordinates):
Os  0.0000  0.5000  0.0000  2 Au 2.46
Os  0.5000  0.0000  0.0000  2 Au 2.46
Tl  0.5000  0.5000  0.5000  12 Os 3.48
Au  0.0000  0.0000  0.0000  6 Os 2.46
Os  0.0000  0.0000  0.5000  2 Au 2.46

Results
The value obtained for the excess energy over the best structure of this formula in the dataset is 0 meV per atom. For the density of states at the Fermi level, the calculation gives 8.88 states/eV/f.u. The density comes out at 13.49 g/cm³.

***

5.
The following is a DFT calculation (PBE-GGA) of an optimized crystal structure of LiYTc2C.

a = 4.1356 Å, b = 4.1356 Å, c = 4.4131 Å
α = 90.00°, β = 90.00°, γ = 90.00°
With the nearest neighbours (Å) after each atom.
Atoms (fractional coordinates):
Tc  0.5000  0.0000  0.0000  2 C 2.07
Y  0.5000  0.5000  0.5000  4 Li 2.92, 8 Tc 3.02
Li  0.0000  0.0000  0.5000  2 C 2.21
Tc  0.0000  0.5000  0.0000  2 C 2.07
C  0.0000  0.0000  0.0000  4 Tc 2.07, 2 Li 2.21

Results
For the density of states at the Fermi level, the calculation gives 5.96 states/eV/f.u. As for the energy: -0.56073 Ry/atom. The density comes out at 6.69 g/cm³.

***

6.
The following is a DFT calculation (PBE-GGA) of an optimized crystal structure of Hf2AsO.

a = 3.6025 Å, b = 3.6023 Å, c = 6.2030 Å
α = 90.00°, β = 90.00°, γ = 60.01°
With the nearest neighbours (Å) after each atom.
Atoms (fractional coordinates):
O  0.1760  0.6211  0.1474  4 Hf 2.12-2.13
Hf  0.1762  0.6212  0.4895  1 O 2.12
As  0.8429  0.2879  0.7695  6 Hf 2.71-2.80
Hf  0.5094  0.9544  0.0720  3 O 2.13

Results
The value obtained for the excess energy over the best structure of this formula in the dataset is 0 meV per atom. The energy relative to the elements, uncorrected comes out at -1.6434 eV per atom. For the density of states at the Fermi level, the calculation gives 2.22 states/eV/f.u. The density comes out at 10.67 g/cm³.

***

7.
The following is a DFT calculation (PBE-GGA) of an optimized crystal structure of Li2SiBO4.

a = 4.3495 Å, b = 4.5272 Å, c = 4.6788 Å
α = 118.10°, β = 112.13°, γ = 92.80°
With the nearest neighbours (Å) after each atom.
Atoms (fractional coordinates):
O  0.8264  0.4621  0.2012  1 B 1.51
Li  0.2408  0.2488  0.4768  3 O 1.96-2.16
O  0.0217  0.0644  0.7283  1 B 1.50
B  0.7352  0.7331  0.4769  4 O 1.50-1.51
O  0.4073  0.8134  0.3088  1 B 1.50
Si  0.0132  0.4951  0.9425  4 O 1.73-1.78
O  0.6731  0.6029  0.6989  1 B 1.51
Li  0.4694  0.9673  0.9405  3 O 1.98-2.14

Results
The energy relative to the elements, uncorrected comes out at -2.0496 eV per atom. For the density of states at the Fermi level, the calculation gives 0.36 states/eV/f.u. The density comes out at 2.68 g/cm³.

***

8.
The following is a DFT calculation (PBE-GGA) of an optimized crystal structure of Be2CrW.

a = 8.3339 Å, b = 8.3339 Å, c = 8.3339 Å
α = 18.10°, β = 18.10°, γ = 18.10°
With the nearest neighbours (Å) after each atom.
Atoms (fractional coordinates):
W  0.7460  0.7460  0.7460  3 Be 2.60, 6 W 2.62, 3 Cr 2.78
Be  0.9933  0.9933  0.9933  9 Be 2.36-2.62, 3 W 2.60
Be  0.2530  0.2530  0.2530  9 Be 2.36-2.62, 3 Cr 2.46
Cr  0.5077  0.5077  0.5077  3 Be 2.46, 6 Cr 2.62

Results
The value obtained for the excess energy over the best structure of this formula in the dataset is 523 meV per atom. For the density of states at the Fermi level, the calculation gives 1.92 states/eV/f.u. The density comes out at 8.64 g/cm³.

***

9.
The following is a DFT calculation (PBE-GGA) of an optimized crystal structure of HfZr3Sn.

a = 5.2582 Å, b = 5.2582 Å, c = 5.2582 Å
α = 90.00°, β = 90.00°, γ = 90.00°
With the nearest neighbours (Å) after each atom.
Atoms (fractional coordinates):
Zr  0.0000  0.5000  0.0000  2 Sn 2.63
Sn  0.0000  0.0000  0.0000  6 Zr 2.63
Hf  0.5000  0.5000  0.5000  12 Zr 3.72
Zr  0.5000  0.0000  0.0000  2 Sn 2.63
Zr  0.0000  0.0000  0.5000  2 Sn 2.63

Results
The value obtained for the excess energy over the best structure of this formula in the dataset is 1113 meV per atom. For the density of states at the Fermi level, the calculation gives 9.46 states/eV/f.u. The density comes out at 6.52 g/cm³.

***

10.
The following is a DFT calculation (PBE-GGA) of an optimized crystal structure of Sm4Sn3Pd.

a = 4.3998 Å, b = 4.4436 Å, c = 11.4890 Å
α = 90.00°, β = 90.00°, γ = 90.00°
With the nearest neighbours (Å) after each atom.
Atoms (fractional coordinates):
Sm  0.5000  0.0000  0.6400  7 Sn 3.18-3.42
Sm  0.0000  0.5000  0.8734  5 Sn 3.17-3.24, 2 Pd 3.25
Sm  0.5000  0.5000  0.3480  1 Pd 3.05, 4 Sn 3.21
Sn  0.0000  0.0000  0.4116  2 Sn 3.04, 5 Sm 3.19-3.21
Sn  0.5000  0.0000  0.9187  2 Pd 2.91, 5 Sm 3.17-3.20
Sm  0.0000  0.0000  0.1343  4 Pd 3.18, 3 Sn 3.19-3.31
Sn  0.0000  0.5000  0.5918  2 Sn 3.04, 5 Sm 3.18-3.24
Pd  0.5000  0.5000  0.0821  2 Sn 2.91, 7 Sm 3.05-3.25

Results
For the density of states at the Fermi level, the calculation gives 5.67 states/eV/f.u. As for the energy: -0.38632 Ry/atom. The density comes out at 7.87 g/cm³.